Entry 1:
DFT (PBE-GGA) results for a relaxed Tb6RuRh5 crystal.

abc: 4.8692 14.6145 6.8395
angles: 90.00 90.00 90.00
Last column: nearest neighbours and their distance in Å.
Space group Cmmm (No. 65)
One atom of each set of equivalent atoms:
Tb 0.0000 0.0000 0.2486 [4 per cell]  2 Ru 2.97, 6 Rh 2.97-2.99
Tb 0.0000 0.3342 0.2491 [8 per cell]  1 Ru 2.96, 7 Rh 2.97-2.98
Ru 0.0000 0.5000 0.0000 [2 per cell]  8 Tb 2.96-2.97
Rh 0.0000 0.1666 0.0000 [4 per cell]  8 Tb 2.97-2.98
Rh 0.0000 0.1675 0.5000 [4 per cell]  8 Tb 2.98-2.99
Rh 0.0000 0.5000 0.5000 [2 per cell]  8 Tb 2.97-2.98

- DFT total energy: -6.92 eV per atom
- ΔE_f: -0.767 eV/atom

***

Entry 2:
DFT (PBE-GGA) results for a relaxed Tb8RuRh2 crystal.

abc: 8.2139 12.7282 5.9912
angles: 90.00 110.16 90.00
Last column: nearest neighbours and their distance in Å.
Space group Cm (No. 8)
One atom of each set of equivalent atoms:
Tb 0.0000 0.0000 0.0000 [2 per cell]  1 Ru 2.84, 2 Rh 3.08
Tb 0.0657 0.3726 0.7873 [4 per cell]  2 Rh 2.77-2.83
Tb 0.1471 0.1275 0.5901 [4 per cell]  2 Rh 2.77-2.80
Tb 0.2128 0.5000 0.3583 [2 per cell]  1 Ru 2.87, 2 Rh 3.07
Tb 0.3605 0.2102 0.1817 [4 per cell]  1 Ru 2.78
Ru 0.3568 0.0000 0.0522 [2 per cell]  4 Tb 2.78-2.87
Rh 0.3530 0.3084 0.6798 [4 per cell]  6 Tb 2.77-3.08

- DFT total energy: -5.90 eV per atom
- Polymorph energy (0 for the lowest one): 0.057 eV/atom
- ΔE_f: -0.352 eV/atom

***

Entry 3:
DFT (PBE-GGA) results for a relaxed Tb8Ru3Rh2 crystal.

abc: 8.3430 4.8246 8.3769
angles: 90.00 109.66 90.00
Last column: nearest neighbours and their distance in Å.
Space group P2/m (No. 10)
One atom of each set of equivalent atoms:
Tb 0.1214 0.0000 0.3792 [2 per cell]  2 Ru 2.93-2.94, 2 Rh 2.99
Tb 0.1276 0.5000 0.8713 [2 per cell]  3 Ru 2.93, 2 Rh 2.97-2.98
Tb 0.3716 0.5000 0.6281 [2 per cell]  3 Ru 2.93, 2 Rh 2.97-2.99
Tb 0.3763 0.0000 0.1233 [2 per cell]  4 Ru 2.93-2.94, 2 Rh 2.96
Ru 0.2513 0.0000 0.7515 [2 per cell]  8 Tb 2.93-2.94
Ru 0.5000 0.5000 0.0000 [1 per cell]  8 Tb 2.93-2.94
Rh 0.2509 0.5000 0.2492 [2 per cell]  8 Tb 2.96-2.99

- DFT total energy: -6.58 eV per atom
- ΔE_f: -0.458 eV/atom

***

Entry 4:
DFT (PBE-GGA) results for a relaxed Tb4RuRh2 crystal.

abc: 12.1214 8.6054 8.5683
angles: 90.00 134.52 90.00
Last column: nearest neighbours and their distance in Å.
Space group C2 (No. 5)
One atom of each set of equivalent atoms:
Tb 0.0526 0.0000 0.2389 [4 per cell]  1 Ru 2.72, 2 Rh 2.76-2.78
Tb 0.0721 0.3704 0.3857 [4 per cell]  2 Rh 2.76, 1 Ru 2.76
Tb 0.2032 0.6289 0.1558 [4 per cell]  2 Ru 2.82-2.94, 4 Rh 2.83-2.98
Tb 0.2031 0.7335 0.7501 [4 per cell]  2 Ru 2.81-2.94, 4 Rh 2.83-2.99
Ru 0.0000 0.0026 0.5000 [2 per cell]  6 Tb 2.72-2.94
Ru 0.0000 0.3593 0.0000 [2 per cell]  6 Tb 2.76-2.94
Rh 0.0703 0.6843 0.3207 [4 per cell]  6 Tb 2.76-2.98
Rh 0.2410 0.4300 0.9130 [4 per cell]  6 Tb 2.76-2.99

- DFT total energy: -6.64 eV per atom
- ΔE_f: -0.570 eV/atom

***

Entry 5:
DFT (PBE-GGA) results for a relaxed Tb3RuRh crystal.

abc: 8.4926 7.3875 7.8315
angles: 90.00 105.06 90.00
Last column: nearest neighbours and their distance in Å.
Space group P2_1/c (No. 14)
One atom of each set of equivalent atoms:
Tb 0.0510 0.9997 0.2142 [4 per cell]  4 Ru 2.76-3.08, 1 Rh 3.03
Tb 0.2826 0.1504 0.5996 [4 per cell]  3 Rh 2.80-2.99, 2 Ru 2.97-2.99
Tb 0.3586 0.6915 0.4719 [4 per cell]  1 Ru 2.74, 3 Rh 2.98-3.05
Ru 0.0766 0.6828 0.0377 [4 per cell]  6 Tb 2.74-2.99, 1 Ru 2.99
Rh 0.4175 0.0448 0.2968 [4 per cell]  7 Tb 2.80-3.05

- DFT total energy: -6.61 eV per atom
- Polymorph energy (0 for the lowest one): 0.000 eV/atom
- ΔE_f: -0.501 eV/atom

***

Entry 6:
DFT (PBE-GGA) results for a relaxed Tb4RuRh2 crystal.

abc: 6.8094 6.8094 6.9206
angles: 90.00 90.00 90.00
Last column: nearest neighbours and their distance in Å.
Space group I4/mmm (No. 139)
One atom of each set of equivalent atoms:
Tb 0.2500 0.2500 0.2500 [8 per cell]  2 Ru 2.96, 4 Rh 2.96
Ru 0.0000 0.0000 0.0000 [2 per cell]  8 Tb 2.96
Rh 0.0000 0.5000 0.0000 [4 per cell]  8 Tb 2.96

- DFT total energy: -6.64 eV per atom
- ΔE_f: -0.569 eV/atom

***

Entry 7:
DFT (PBE-GGA) results for a relaxed Tb8Ru5Rh crystal.

abc: 8.5969 8.5969 8.5113
angles: 90.00 90.00 90.00
Last column: nearest neighbours and their distance in Å.
Space group I-4 (No. 82)
One atom of each set of equivalent atoms:
Tb 0.0502 0.3152 0.4541 [8 per cell]  1 Rh 2.77, 3 Ru 2.78-3.01
Tb 0.0806 0.1815 0.8289 [8 per cell]  4 Ru 2.77-2.90
Ru 0.0000 0.5000 0.7500 [2 per cell]  8 Tb 2.90-3.01
Ru 0.1435 0.2388 0.1507 [8 per cell]  5 Tb 2.77-2.90
Rh 0.0000 0.0000 0.5000 [2 per cell]  4 Tb 2.77

- DFT total energy: -6.74 eV per atom
- ΔE_f: -0.258 eV/atom

***

Entry 8:
DFT (PBE-GGA) results for a relaxed Tb2RuRh crystal.

abc: 6.8322 6.8492 4.8385
angles: 90.00 134.78 90.00
Last column: nearest neighbours and their distance in Å.
Space group C2/m (No. 12)
One atom of each set of equivalent atoms:
Tb 0.0000 0.2500 0.0000 [4 per cell]  4 Ru 2.96-2.97, 4 Rh 2.96-2.97
Ru 0.0000 0.0000 0.5000 [2 per cell]  8 Tb 2.96-2.97
Rh 0.0000 0.5000 0.5000 [2 per cell]  8 Tb 2.96-2.97

- DFT total energy: -7.06 eV per atom
- ΔE_f: -0.590 eV/atom

***

Entry 9:
DFT (PBE-GGA) results for a relaxed Tb2RuRh crystal.

abc: 3.4278 3.4278 6.8358
angles: 90.00 90.00 90.00
Last column: nearest neighbours and their distance in Å.
Space group P4/mmm (No. 123)
One atom of each set of equivalent atoms:
Tb 0.0000 0.0000 0.2460 [2 per cell]  4 Ru 2.95, 4 Rh 2.98
Ru 0.5000 0.5000 0.0000 [1 per cell]  8 Tb 2.95
Rh 0.5000 0.5000 0.5000 [1 per cell]  8 Tb 2.98

- DFT total energy: -7.07 eV per atom
- ΔE_f: -0.600 eV/atom

***

Entry 10:
DFT (PBE-GGA) results for a relaxed Tb4RuRh3 crystal.

abc: 3.4491 3.4491 13.6186
angles: 90.00 90.00 90.00
Last column: nearest neighbours and their distance in Å.
Space group P4/mmm (No. 123)
One atom of each set of equivalent atoms:
Tb 0.0000 0.0000 0.1228 [2 per cell]  4 Ru 2.96, 4 Rh 3.01
Tb 0.0000 0.0000 0.3746 [2 per cell]  8 Rh 2.95-2.98
Ru 0.5000 0.5000 0.0000 [1 per cell]  8 Tb 2.96
Rh 0.5000 0.5000 0.2525 [2 per cell]  8 Tb 2.95-3.01
Rh 0.5000 0.5000 0.5000 [1 per cell]  8 Tb 2.98

- DFT total energy: -6.95 eV per atom
- ΔE_f: -0.718 eV/atom

***

Entry 11:
DFT (PBE-GGA) results for a relaxed Tb4RuRh crystal.

abc: 6.8312 6.8361 6.8372
angles: 90.00 90.76 90.00
Last column: nearest neighbours and their distance in Å.
Space group P2_1/c (No. 14)
One atom of each set of equivalent atoms:
Tb 0.1608 0.1636 0.1667 [4 per cell]  2 Ru 2.78-2.79, 1 Rh 2.83
Tb 0.3342 0.6632 0.1597 [4 per cell]  1 Ru 2.75, 2 Rh 2.79-2.81
Ru 0.0000 0.0000 0.5000 [2 per cell]  6 Tb 2.75-2.79
Rh 0.5000 0.0000 0.0000 [2 per cell]  6 Tb 2.79-2.83

- DFT total energy: -6.30 eV per atom
- Polymorph energy (0 for the lowest one): 0.056 eV/atom
- ΔE_f: -0.440 eV/atom

***

Entry 12:
DFT (PBE-GGA) results for a relaxed Tb3RuRh crystal.

abc: 6.8207 6.8259 7.4652
angles: 62.82 62.88 60.11
Last column: nearest neighbours and their distance in Å.
Space group P-1 (No. 2)
One atom of each set of equivalent atoms:
Tb 0.0954 0.4046 0.2461 [2 per cell]  2 Ru 2.77-2.78, 2 Rh 2.81
Tb 0.2468 0.9045 0.7524 [2 per cell]  2 Ru 2.78, 2 Rh 2.81
Tb 0.4042 0.7545 0.2460 [2 per cell]  2 Ru 2.77-2.78, 2 Rh 2.81-2.82
Ru 0.1713 0.1716 0.9839 [2 per cell]  6 Tb 2.77-2.78, 1 Rh 2.99
Rh 0.3287 0.3293 0.5132 [2 per cell]  6 Tb 2.81-2.82, 1 Ru 2.99

- DFT total energy: -6.54 eV per atom
- Polymorph energy (0 for the lowest one): 0.062 eV/atom
- ΔE_f: -0.440 eV/atom

***

Entry 13:
DFT (PBE-GGA) results for a relaxed Tb2Ru3Rh crystal.

abc: 5.2462 5.2462 13.6360
angles: 90.00 90.00 120.00
Last column: nearest neighbours and their distance in Å.
Space group R-3m (No. 166, hexagonal axes)
One atom of each set of equivalent atoms:
Tb 0.0000 0.0000 0.1221 [6 per cell]  3 Rh 3.09, 9 Ru 3.11-3.25, 4 Tb 3.26-3.33
Ru 0.0000 0.5000 0.0000 [9 per cell]  4 Ru 2.62, 2 Rh 2.73
Rh 0.0000 0.0000 0.5000 [3 per cell]  6 Ru 2.73

- DFT total energy: -7.81 eV per atom
- ΔE_f: -0.408 eV/atom

***

Entry 14:
DFT (PBE-GGA) results for a relaxed Tb5Ru4Rh crystal.

abc: 3.4198 3.4198 17.0774
angles: 90.00 90.00 90.00
Last column: nearest neighbours and their distance in Å.
Space group P4/mmm (No. 123)
One atom of each set of equivalent atoms:
Tb 0.0000 0.0000 0.0000 [1 per cell]  8 Ru 2.96
Tb 0.0000 0.0000 0.1991 [2 per cell]  8 Ru 2.96-2.98
Tb 0.0000 0.0000 0.3974 [2 per cell]  4 Ru 2.93, 4 Rh 2.99
Ru 0.5000 0.5000 0.0996 [2 per cell]  8 Tb 2.96
Ru 0.5000 0.5000 0.3006 [2 per cell]  8 Tb 2.93-2.98
Rh 0.5000 0.5000 0.5000 [1 per cell]  8 Tb 2.99

- DFT total energy: -7.17 eV per atom
- ΔE_f: -0.414 eV/atom

***

Entry 15:
DFT (PBE-GGA) results for a relaxed Tb5Tl2RuRh2 crystal.

abc: 11.7304 11.7304 3.5198
angles: 90.00 90.00 90.00
Last column: nearest neighbours and their distance in Å.
Space group P4/mbm (No. 127)
One atom of each set of equivalent atoms:
Tb 0.0000 0.5000 0.0000 [2 per cell]  4 Rh 2.84
Tb 0.0666 0.1940 0.0000 [8 per cell]  2 Rh 2.79, 2 Ru 2.98
Tl 0.1772 0.6772 0.5000 [4 per cell]  1 Rh 3.12, 6 Tb 3.43-3.49
Ru 0.0000 0.0000 0.5000 [2 per cell]  8 Tb 2.98
Rh 0.1345 0.3655 0.5000 [4 per cell]  6 Tb 2.79-2.84

- DFT total energy: -5.68 eV per atom
- ΔE_f: -0.497 eV/atom

***

Entry 16:
DFT (PBE-GGA) results for a relaxed TbYRuRh crystal.

abc: 6.8510 6.8510 6.8510
angles: 90.00 90.00 90.00
Last column: nearest neighbours and their distance in Å.
Space group F-43m (No. 216)
One atom of each set of equivalent atoms:
Tb 0.0000 0.0000 0.0000 [4 per cell]  4 Ru 2.97, 4 Rh 2.97
Y 0.0000 0.0000 0.5000 [4 per cell]  4 Rh 2.97, 4 Ru 2.97
Ru 0.2500 0.2500 0.7500 [4 per cell]  4 Y 2.97, 4 Tb 2.97
Rh 0.2500 0.2500 0.2500 [4 per cell]  4 Tb 2.97, 4 Y 2.97

- DFT total energy: -7.52 eV per atom
- ΔE_f: -0.588 eV/atom

***

Entry 17:
DFT (PBE-GGA) results for a relaxed TbYRuRh crystal.

abc: 3.4183 4.8453 4.8472
angles: 90.00 90.00 90.00
Last column: nearest neighbours and their distance in Å.
Space group Pmmm (No. 47)
One atom of each set of equivalent atoms:
Tb 0.0000 0.0000 0.0000 [1 per cell]  4 Ru 2.96, 4 Rh 2.97
Y 0.0000 0.5000 0.5000 [1 per cell]  4 Rh 2.96, 4 Ru 2.97
Ru 0.5000 0.5000 0.0000 [1 per cell]  4 Tb 2.96, 4 Y 2.97
Rh 0.5000 0.0000 0.5000 [1 per cell]  4 Y 2.96, 4 Tb 2.97

- DFT total energy: -7.52 eV per atom
- ΔE_f: -0.589 eV/atom

***

Entry 18:
DFT (PBE-GGA) results for a relaxed Tb2Zn5Ru2Rh crystal.

abc: 9.8980 9.8980 3.5384
angles: 90.00 90.00 90.00
Last column: nearest neighbours and their distance in Å.
Space group P4/mbm (No. 127)
One atom of each set of equivalent atoms:
Tb 0.1757 0.3243 0.0000 [4 per cell]  1 Ru 2.69
Zn 0.0000 0.5000 0.5000 [2 per cell]  4 Ru 2.56
Zn 0.0549 0.8117 0.5000 [8 per cell]  2 Ru 2.62, 2 Rh 2.63, 2 Zn 2.75
Ru 0.1321 0.6321 0.0000 [4 per cell]  6 Zn 2.56-2.62, 1 Tb 2.69
Rh 0.0000 0.0000 0.0000 [2 per cell]  8 Zn 2.63

- DFT total energy: -4.41 eV per atom
- ΔE_f: -0.258 eV/atom

***

Entry 19:
DFT (PBE-GGA) results for a relaxed TbZrRuRh crystal.

abc: 6.7117 6.7117 6.7117
angles: 90.00 90.00 90.00
Last column: nearest neighbours and their distance in Å.
Space group F-43m (No. 216)
One atom of each set of equivalent atoms:
Tb 0.0000 0.0000 0.0000 [4 per cell]  4 Rh 2.91, 4 Ru 2.91
Zr 0.0000 0.0000 0.5000 [4 per cell]  4 Ru 2.91, 4 Rh 2.91
Ru 0.2500 0.2500 0.7500 [4 per cell]  4 Zr 2.91, 4 Tb 2.91
Rh 0.2500 0.2500 0.2500 [4 per cell]  4 Zr 2.91, 4 Tb 2.91

- DFT total energy: -8.08 eV per atom
- ΔE_f: -0.627 eV/atom

***

Entry 20:
DFT (PBE-GGA) results for a relaxed Tc2Ru5Rh crystal.

abc: 5.4381 5.4381 7.6660
angles: 90.00 90.00 90.00
Last column: nearest neighbours and their distance in Å.
Space group I4mm (No. 107)
One atom of each set of equivalent atoms:
Tc 0.0000 0.5000 0.0000 [4 per cell]  10 Ru 2.63-2.80, 2 Rh 2.72
Ru 0.0000 0.0000 0.4902 [2 per cell]  8 Ru 2.68-2.75, 4 Tc 2.72
Ru 0.2499 0.2499 0.2339 [8 per cell]  4 Tc 2.63-2.80, 6 Ru 2.68-2.75, 2 Rh 2.68-2.75
Rh 0.0000 0.0000 0.9897 [2 per cell]  8 Ru 2.68-2.75, 4 Tc 2.72

- DFT total energy: -9.25 eV per atom
- ΔE_f: 0.054 eV/atom

***

Entry 21:
DFT (PBE-GGA) results for a relaxed TcRuRh crystal.

abc: 5.8594 5.8594 5.8594
angles: 90.00 90.00 90.00
Last column: nearest neighbours and their distance in Å.
Space group F-43m (No. 216)
One atom of each set of equivalent atoms:
Tc 0.0000 0.0000 0.0000 [4 per cell]  4 Ru 2.54, 4 Rh 2.54
Ru 0.2500 0.2500 0.7500 [4 per cell]  4 Tc 2.54
Rh 0.2500 0.2500 0.2500 [4 per cell]  4 Tc 2.54

- DFT total energy: -8.50 eV per atom
- Polymorph energy (0 for the lowest one): 0.609 eV/atom
- ΔE_f: 0.496 eV/atom

***

Entry 22:
DFT (PBE-GGA) results for a relaxed TcRuRh crystal.

abc: 2.7383 2.7383 11.4028
angles: 90.00 90.00 90.00
Last column: nearest neighbours and their distance in Å.
Space group I4mm (No. 107)
One atom of each set of equivalent atoms:
Tc 0.0000 0.0000 0.0000 [2 per cell]  4 Ru 2.64, 4 Rh 2.72, 4 Tc 2.74
Ru 0.0000 0.0000 0.3430 [2 per cell]  4 Tc 2.64, 4 Ru 2.74, 4 Rh 2.78
Rh 0.0000 0.0000 0.6675 [2 per cell]  4 Tc 2.72, 4 Rh 2.74, 4 Ru 2.78

- DFT total energy: -9.01 eV per atom
- Polymorph energy (0 for the lowest one): 0.098 eV/atom
- ΔE_f: -0.016 eV/atom

***

Entry 23:
DFT (PBE-GGA) results for a relaxed TcRuRh crystal.

abc: 5.4329 3.8433 8.1638
angles: 90.00 90.00 90.00
Last column: nearest neighbours and their distance in Å.
Space group Pnma (No. 62)
One atom of each set of equivalent atoms:
Tc 0.1167 0.2500 0.0821 [4 per cell]  5 Ru 2.66-2.78, 2 Tc 2.66, 5 Rh 2.67-2.76
Ru 0.1217 0.2500 0.7566 [4 per cell]  5 Tc 2.66-2.78, 5 Rh 2.69-2.79, 2 Ru 2.72
Rh 0.1256 0.2500 0.4145 [4 per cell]  5 Tc 2.67-2.76, 5 Ru 2.69-2.79, 2 Rh 2.74

- DFT total energy: -9.02 eV per atom
- Polymorph energy (0 for the lowest one): 0.090 eV/atom
- ΔE_f: -0.024 eV/atom